VASP calculation (PBE+U) on a relaxed structure of YNiF3.

Magnetic moment   2.000 μB/f.u.
Energy   -5.3662 eV/atom
DOS(E_F)   0.00 states/eV/cell
Calculated density   3.763 g cm⁻³
Excess energy over the best structure of this formula in the dataset   0.0 meV per atom

Cell: 4.486 4.486 4.486 Å, 90.00 90.00 90.00°
Atoms (fractional coordinates):
F  0.500  0.000  0.000
F  0.000  0.000  0.500
F  0.000  0.500  0.000
Ni  0.500  0.500  0.500
Y  0.000  0.000  0.000